Nd2Te4O11, PBEsol geometry, DFT SCAN; formation energy from raw total energies = -2.00 eV/atom; DFT total energy = -19.925 eV/atom; mass density = 6.4 Mg/m³; total magnetization = 0.00 Bohr magnetons per cell
1.0
5.202 0.000 0.000
2.601 6.265 -0.071
2.601 1.963 15.565
O Te Nd
22 8 4
Direct
0.137 0.250 0.750
0.183 0.867 0.631
0.210 0.370 0.327
0.048 0.688 0.453
0.319 0.367 0.131
0.613 0.552 0.399
0.817 0.133 0.369
0.907 0.130 0.173
0.188 0.812 0.047
0.667 0.028 0.557
0.333 0.972 0.443
0.952 0.312 0.547
0.387 0.448 0.601
0.749 0.528 0.057
0.863 0.750 0.250
0.251 0.472 0.943
0.093 0.870 0.827
0.436 0.052 0.899
0.564 0.948 0.101
0.812 0.188 0.953
0.681 0.633 0.869
0.790 0.630 0.673
0.157 0.883 0.370
0.603 0.043 0.204
0.843 0.117 0.630
0.410 0.617 0.130
0.590 0.383 0.870
0.150 0.543 0.704
0.397 0.957 0.796
0.850 0.457 0.296
0.626 0.699 0.538
0.863 0.801 0.962
0.137 0.199 0.038
0.374 0.301 0.462